Record 1
Below is a geometry-optimized Dy2Ag2Pt structure, with properties calculated at the PBE level.

Distance to the lowest polymorph of the same formula (meV per atom): 0
Total magnetization (μB/f.u.): 0.00
ΔH_f (0 K) (eV per atom): -0.604
Crystal system: trigonal
Space-group type: R-3m
Raw total energy (eV per cell): -23.97

Cell and atoms, written as CIF:
```
data_Dy2Ag2Pt
_cell_length_a 7.153
_cell_length_b 7.153
_cell_length_c 7.153
_cell_angle_alpha 36.73
_cell_angle_beta 36.73
_cell_angle_gamma 36.73
_symmetry_space_group_name_H-M 'P 1'
_symmetry_Int_Tables_number 1
_symmetry_space_group_name_Hall 'P 1'
loop_
_atom_site_label
_atom_site_type_symbol
_atom_site_fract_x
_atom_site_fract_y
_atom_site_fract_z
Dy1 Dy 0.099 0.099 0.099
Dy2 Dy 0.901 0.901 0.901
Ag1 Ag 0.351 0.351 0.351
Ag2 Ag 0.649 0.649 0.649
Pt1 Pt 0.500 0.500 0.500
```



Record 2
Below is a geometry-optimized La4SmTm3S8 structure, with properties calculated at the PBE level.

Total magnetization (μB/f.u.): 0.00
Crystal system: trigonal
Space-group type: R-3m
Raw total energy (eV per cell): -103.89

Cell and atoms, written as CIF:
```
data_La4SmTm3S8
_cell_length_a 8.117
_cell_length_b 8.117
_cell_length_c 8.117
_cell_angle_alpha 58.79
_cell_angle_beta 58.79
_cell_angle_gamma 58.79
_symmetry_space_group_name_H-M 'P 1'
_symmetry_Int_Tables_number 1
_symmetry_space_group_name_Hall 'P 1'
loop_
_atom_site_label
_atom_site_type_symbol
_atom_site_fract_x
_atom_site_fract_y
_atom_site_fract_z
La1 La 0.000 0.000 0.000
La2 La 0.000 0.500 0.500
La3 La 0.500 0.000 0.500
La4 La 0.500 0.500 0.000
Sm1 Sm 0.500 0.500 0.500
Tm1 Tm 0.000 0.000 0.500
Tm2 Tm 0.000 0.500 0.000
Tm3 Tm 0.500 0.000 0.000
S1 S 0.235 0.746 0.746
S2 S 0.241 0.241 0.241
S3 S 0.254 0.254 0.765
S4 S 0.254 0.765 0.254
S5 S 0.746 0.235 0.746
S6 S 0.746 0.746 0.235
S7 S 0.759 0.759 0.759
S8 S 0.765 0.254 0.254
```



Record 3
Below is a geometry-optimized Mg3In5 structure, with properties calculated at the PBE level.

Distance to the lowest polymorph of the same formula (meV per atom): 7
Total magnetization (μB/f.u.): 0.00
ΔH_f (0 K) (eV per atom): -0.015
Crystal system: tetragonal
Space-group type: I4/mcm
Raw total energy (eV per cell): -37.19

Cell and atoms, written as CIF:
```
data_Mg3In5
_cell_length_a 8.794
_cell_length_b 8.794
_cell_length_c 8.794
_cell_angle_alpha 96.37
_cell_angle_beta 96.37
_cell_angle_gamma 141.09
_symmetry_space_group_name_H-M 'P 1'
_symmetry_Int_Tables_number 1
_symmetry_space_group_name_Hall 'P 1'
loop_
_atom_site_label
_atom_site_type_symbol
_atom_site_fract_x
_atom_site_fract_y
_atom_site_fract_z
Mg1 Mg 0.179 0.679 0.857
Mg2 Mg 0.250 0.250 0.000
Mg3 Mg 0.321 0.179 0.500
Mg4 Mg 0.679 0.821 0.500
Mg5 Mg 0.750 0.750 0.000
Mg6 Mg 0.821 0.321 0.143
In1 In 0.067 0.233 0.300
In2 In 0.233 0.933 0.165
In3 In 0.250 0.750 0.500
In4 In 0.267 0.433 0.700
In5 In 0.433 0.733 0.165
In6 In 0.567 0.267 0.835
In7 In 0.733 0.567 0.300
In8 In 0.750 0.250 0.500
In9 In 0.767 0.067 0.835
In10 In 0.933 0.767 0.700
```



Record 4
Below is a geometry-optimized MnBe2Os structure, with properties calculated at the PBE level.

Total magnetization (μB/f.u.): 1.85
ΔH_f (0 K) (eV per atom): 0.678
Crystal system: orthorhombic
Space-group type: Immm
Raw total energy (eV per cell): -25.14

Cell and atoms, written as CIF:
```
data_MnBe2Os
_cell_length_a 5.120
_cell_length_b 5.120
_cell_length_c 5.120
_cell_angle_alpha 151.22
_cell_angle_beta 129.67
_cell_angle_gamma 59.01
_symmetry_space_group_name_H-M 'P 1'
_symmetry_Int_Tables_number 1
_symmetry_space_group_name_Hall 'P 1'
loop_
_atom_site_label
_atom_site_type_symbol
_atom_site_fract_x
_atom_site_fract_y
_atom_site_fract_z
Mn1 Mn 0.000 0.000 0.000
Be1 Be 0.246 0.246 0.000
Be2 Be 0.754 0.754 0.000
Os1 Os 0.500 0.500 0.000
```



Record 5
Below is a geometry-optimized OsRu2W structure, with properties calculated at the PBE level.

Distance to the lowest polymorph of the same formula (meV per atom): 76
Total magnetization (μB/f.u.): 0.00
ΔH_f (0 K) (eV per atom): 0.062
Crystal system: monoclinic
Space-group type: C2/m
Raw total energy (eV per cell): -42.49

Cell and atoms, written as CIF:
```
data_OsRu2W
_cell_length_a 4.756
_cell_length_b 4.756
_cell_length_c 4.734
_cell_angle_alpha 99.75
_cell_angle_beta 99.75
_cell_angle_gamma 33.67
_symmetry_space_group_name_H-M 'P 1'
_symmetry_Int_Tables_number 1
_symmetry_space_group_name_Hall 'P 1'
loop_
_atom_site_label
_atom_site_type_symbol
_atom_site_fract_x
_atom_site_fract_y
_atom_site_fract_z
Os1 Os 0.000 0.000 0.000
Ru1 Ru 0.252 0.252 0.758
Ru2 Ru 0.748 0.748 0.242
W1 W 0.500 0.500 0.500
```



Record 6
Below is a geometry-optimized Ce2Pm3ErSb6 structure, with properties calculated at the PBE level.

Total magnetization (μB/f.u.): 1.44
Crystal system: monoclinic
Space-group type: C2/m
Raw total energy (eV per cell): -68.91

Cell and atoms, written as CIF:
```
data_Ce2Pm3ErSb6
_cell_length_a 9.995
_cell_length_b 9.995
_cell_length_c 8.945
_cell_angle_alpha 102.99
_cell_angle_beta 102.99
_cell_angle_gamma 25.87
_symmetry_space_group_name_H-M 'P 1'
_symmetry_Int_Tables_number 1
_symmetry_space_group_name_Hall 'P 1'
loop_
_atom_site_label
_atom_site_type_symbol
_atom_site_fract_x
_atom_site_fract_y
_atom_site_fract_z
Ce1 Ce 0.165 0.165 0.332
Ce2 Ce 0.835 0.835 0.668
Pm1 Pm 0.167 0.167 0.834
Pm2 Pm 0.500 0.500 0.500
Pm3 Pm 0.833 0.833 0.166
Er1 Er 0.500 0.500 0.000
Sb1 Sb 0.000 0.000 0.244
Sb2 Sb 0.000 0.000 0.756
Sb3 Sb 0.333 0.333 0.417
Sb4 Sb 0.336 0.336 0.917
Sb5 Sb 0.664 0.664 0.083
Sb6 Sb 0.667 0.667 0.583
```



Record 7
Below is a geometry-optimized ZnSCl2F structure, with properties calculated at the PBE level.

Distance to the lowest polymorph of the same formula (meV per atom): 0
Total magnetization (μB/f.u.): 1.82
Crystal system: tetragonal
Space-group type: P4/mmm
Raw total energy (eV per cell): -10.71

Cell and atoms, written as CIF:
```
data_ZnSCl2F
_cell_length_a 4.738
_cell_length_b 4.738
_cell_length_c 5.079
_cell_angle_alpha 90.00
_cell_angle_beta 90.00
_cell_angle_gamma 90.00
_symmetry_space_group_name_H-M 'P 1'
_symmetry_Int_Tables_number 1
_symmetry_space_group_name_Hall 'P 1'
loop_
_atom_site_label
_atom_site_type_symbol
_atom_site_fract_x
_atom_site_fract_y
_atom_site_fract_z
Zn1 Zn 0.000 0.000 0.000
S1 S 0.000 0.000 0.500
Cl1 Cl 0.000 0.500 0.000
Cl2 Cl 0.500 0.000 0.000
F1 F 0.500 0.500 0.500
```



Record 8
Below is a geometry-optimized V2CoRh3 structure, with properties calculated at the PBE level.

Distance to the lowest polymorph of the same formula (meV per atom): 508
Total magnetization (μB/f.u.): 0.42
ΔH_f (0 K) (eV per atom): 0.179
Crystal system: orthorhombic
Space-group type: Ibam
Raw total energy (eV per cell): -92.65

Cell and atoms, written as CIF:
```
data_V2CoRh3
_cell_length_a 6.635
_cell_length_b 6.635
_cell_length_c 6.635
_cell_angle_alpha 116.40
_cell_angle_beta 83.37
_cell_angle_gamma 132.14
_symmetry_space_group_name_H-M 'P 1'
_symmetry_Int_Tables_number 1
_symmetry_space_group_name_Hall 'P 1'
loop_
_atom_site_label
_atom_site_type_symbol
_atom_site_fract_x
_atom_site_fract_y
_atom_site_fract_z
V1 V 0.133 0.225 0.358
V2 V 0.367 0.725 0.093
V3 V 0.633 0.275 0.907
V4 V 0.867 0.775 0.642
Co1 Co 0.000 0.500 0.500
Co2 Co 0.500 0.000 0.500
Rh1 Rh 0.024 0.750 0.274
Rh2 Rh 0.250 0.250 0.000
Rh3 Rh 0.476 0.750 0.726
Rh4 Rh 0.524 0.250 0.274
Rh5 Rh 0.750 0.750 0.000
Rh6 Rh 0.976 0.250 0.726
```



Record 9
Below is a geometry-optimized PaInPd3 structure, with properties calculated at the PBE level.

Total magnetization (μB/f.u.): 0.32
ΔH_f (0 K) (eV per atom): -0.534
Crystal system: monoclinic
Space-group type: C2/m
Raw total energy (eV per cell): -60.97

Cell and atoms, written as CIF:
```
data_PaInPd3
_cell_length_a 5.222
_cell_length_b 5.222
_cell_length_c 9.506
_cell_angle_alpha 92.66
_cell_angle_beta 92.66
_cell_angle_gamma 47.42
_symmetry_space_group_name_H-M 'P 1'
_symmetry_Int_Tables_number 1
_symmetry_space_group_name_Hall 'P 1'
loop_
_atom_site_label
_atom_site_type_symbol
_atom_site_fract_x
_atom_site_fract_y
_atom_site_fract_z
Pa1 Pa 0.066 0.066 0.150
Pa2 Pa 0.934 0.934 0.850
In1 In 0.416 0.416 0.367
In2 In 0.584 0.584 0.633
Pd1 Pd 0.135 0.135 0.437
Pd2 Pd 0.250 0.250 0.754
Pd3 Pd 0.357 0.357 0.053
Pd4 Pd 0.643 0.643 0.947
Pd5 Pd 0.750 0.750 0.246
Pd6 Pd 0.865 0.865 0.563
```



Record 10
Below is a geometry-optimized K2B7Pt12 structure, with properties calculated at the PBE level.

Total magnetization (μB/f.u.): 0.00
ΔH_f (0 K) (eV per atom): -0.113
Crystal system: trigonal
Space-group type: P-3
Raw total energy (eV per cell): -123.80

Cell and atoms, written as CIF:
```
data_K2B7Pt12
_cell_length_a 9.015
_cell_length_b 9.015
_cell_length_c 5.337
_cell_angle_alpha 90.00
_cell_angle_beta 90.00
_cell_angle_gamma 120.00
_symmetry_space_group_name_H-M 'P 1'
_symmetry_Int_Tables_number 1
_symmetry_space_group_name_Hall 'P 1'
loop_
_atom_site_label
_atom_site_type_symbol
_atom_site_fract_x
_atom_site_fract_y
_atom_site_fract_z
K1 K 0.333 0.667 0.026
K2 K 0.667 0.333 0.974
B1 B 0.000 0.000 0.500
B2 B 0.088 0.364 0.497
B3 B 0.276 0.912 0.497
B4 B 0.364 0.276 0.503
B5 B 0.636 0.724 0.497
B6 B 0.724 0.088 0.503
B7 B 0.912 0.636 0.503
Pt1 Pt 0.059 0.855 0.760
Pt2 Pt 0.145 0.204 0.760
Pt3 Pt 0.149 0.646 0.527
Pt4 Pt 0.204 0.059 0.240
Pt5 Pt 0.354 0.504 0.527
Pt6 Pt 0.496 0.851 0.527
Pt7 Pt 0.504 0.149 0.473
Pt8 Pt 0.646 0.496 0.473
Pt9 Pt 0.796 0.941 0.760
Pt10 Pt 0.851 0.354 0.473
Pt11 Pt 0.855 0.796 0.240
Pt12 Pt 0.941 0.145 0.240
```



Which formula does entry 9 have?
PaInPd3